Entry 1:
DFT (PBE) results for Ni2IrPt4 after structural relaxation.

Summary:
The value obtained for the formation energy from the elements is 3.4 kcal/mol of atoms. For the total energy, the calculation gives -6.22 eV per atom. The density of states at the Fermi level comes out at 10.55 states/eV/f.u. As for the space group: No. 15.

Geometry as POSCAR:
```
Ni2IrPt4
1.0
2.688 -4.648 0.000
2.688 4.648 0.000
-2.442 0.000 8.720
Ni Ir Pt
4 2 8
Cartesian
0.666 1.150 0.021
-0.555 -1.150 4.381
3.489 1.150 4.339
2.268 -1.150 8.698
0.856 2.732 6.540
2.078 -2.732 2.180
-0.506 0.425 6.525
0.867 1.220 4.284
0.716 -0.425 2.165
3.288 1.220 0.075
-0.354 -1.220 8.644
2.218 0.425 6.555
2.067 -1.220 4.435
3.440 -0.425 2.195
```

***

Entry 2:
DFT (PBE) results for Tl3V after structural relaxation.

Summary:
The value obtained for the formation energy from the elements is 11.8 kcal/mol of atoms. For the total energy, the calculation gives -3.54 eV per atom. The density of states at the Fermi level comes out at 4.07 states/eV/f.u. As for the space group: No. 139.

Geometry as POSCAR:
```
Tl3V
1.0
-2.298 2.298 4.738
2.298 -2.298 4.738
2.298 2.298 -4.738
Tl V
3 1
Cartesian
0.000 0.000 0.000
2.298 0.000 2.369
0.000 2.298 2.369
0.000 0.000 4.738
```

***

Entry 3:
DFT (PBE) results for HoThZn after structural relaxation.

Summary:
The value obtained for the formation energy from the elements is -2.9 kcal/mol of atoms. For the total energy, the calculation gives -4.55 eV per atom. The density of states at the Fermi level comes out at 3.27 states/eV/f.u. For the polymorph energy (0 for the lowest one), the calculation gives 0.018 eV per atom. As for the space group: No. 63.

Geometry as POSCAR:
```
HoThZn
1.0
1.780 -8.450 0.000
1.780 8.450 0.000
0.000 0.000 5.298
Ho Th Zn
2 2 2
Cartesian
1.780 7.153 3.973
1.780 -7.153 1.324
1.780 4.677 1.324
1.780 -4.677 3.973
1.780 1.122 3.973
1.780 -1.122 1.324
```